Record 1
DFT (PBE) results for an optimized crystal structure of ThGaAu2.

Output
Uncorrected energy (eV for the cell shown): -77.576
DOS(E_F) (states/eV per atom): 0.665
Space-group type: No. 63
Energy relative to the elements (eV/atom): -0.598

POSCAR file:
```
ThGaAu2
1.0
2.2561 -8.4890 0.0000
2.2561 8.4890 0.0000
0.0000 0.0000 9.1665
Th Ga Au
4 4 8
direct
0.0000 0.0000 0.0000 Th
0.0000 0.0000 0.5000 Th
0.2106 0.7894 0.7500 Th
0.7894 0.2106 0.2500 Th
0.3512 0.6488 0.0237 Ga
0.3512 0.6488 0.4763 Ga
0.6488 0.3512 0.5237 Ga
0.6488 0.3512 0.9763 Ga
0.1850 0.8150 0.0950 Au
0.1850 0.8150 0.4050 Au
0.4046 0.5954 0.7500 Au
0.4370 0.5630 0.2500 Au
0.5630 0.4370 0.7500 Au
0.5954 0.4046 0.2500 Au
0.8150 0.1850 0.5950 Au
0.8150 0.1850 0.9050 Au
```



Record 2
DFT (PBE) results for an optimized crystal structure of ThGaAu2.

Output
Uncorrected energy (eV for the cell shown): -18.707
DOS(E_F) (states/eV per atom): 0.493
Space-group type: No. 123
Energy relative to the elements (eV/atom): -0.426

POSCAR file:
```
ThGaAu2
1.0
3.4781 0.0000 0.0000
0.0000 3.4781 0.0000
0.0000 0.0000 7.1540
Th Ga Au
1 1 2
direct
0.0000 0.0000 0.0000 Th
0.0000 0.0000 0.5000 Ga
0.5000 0.5000 0.2835 Au
0.5000 0.5000 0.7165 Au
```



Record 3
DFT (PBE) results for an optimized crystal structure of Th2Ga8Au.

Output
Uncorrected energy (eV for the cell shown): -46.715
DOS(E_F) (states/eV per atom): 0.502
Space-group type: No. 123
Energy relative to the elements (eV/atom): -0.398

POSCAR file:
```
Th2Ga8Au
1.0
4.4817 0.0000 0.0000
0.0000 4.4817 0.0000
0.0000 0.0000 11.5378
Th Ga Au
2 8 1
direct
0.0000 0.0000 0.1865 Th
0.0000 0.0000 0.8135 Th
0.0000 0.5000 0.0000 Ga
0.0000 0.5000 0.3711 Ga
0.0000 0.5000 0.6289 Ga
0.5000 0.0000 0.0000 Ga
0.5000 0.0000 0.3711 Ga
0.5000 0.0000 0.6289 Ga
0.5000 0.5000 0.1883 Ga
0.5000 0.5000 0.8117 Ga
0.0000 0.0000 0.5000 Au
```



Record 4
DFT (PBE) results for an optimized crystal structure of Th7Ga2Au2.

Output
Uncorrected energy (eV for the cell shown): -65.013
DOS(E_F) (states/eV per atom): 1.405
Space-group type: No. 65
Energy relative to the elements (eV/atom): -0.042

POSCAR file:
```
Th7Ga2Au2
1.0
4.0181 -5.4654 0.0000
4.0181 5.4654 0.0000
0.0000 0.0000 7.4262
Th Ga Au
7 2 2
direct
0.0000 0.0000 0.0000 Th
0.0000 0.5000 0.2853 Th
0.0000 0.5000 0.7147 Th
0.5000 0.0000 0.2853 Th
0.5000 0.0000 0.7147 Th
0.5000 0.5000 0.2614 Th
0.5000 0.5000 0.7386 Th
0.2826 0.7174 0.0000 Ga
0.7174 0.2826 0.0000 Ga
0.1730 0.1730 0.5000 Au
0.8270 0.8270 0.5000 Au
```



Record 5
DFT (PBE) results for an optimized crystal structure of ThGa3Au10.

Output
Uncorrected energy (eV for the cell shown): -105.538
DOS(E_F) (states/eV per atom): 0.354
Space-group type: No. 12
Energy relative to the elements (eV/atom): -0.250

POSCAR file:
```
ThGa3Au10
1.0
6.3925 -4.7790 0.0000
6.3925 4.7790 0.0000
-3.4553 0.0000 9.2255
Th Ga Au
2 6 20
direct
0.2292 0.2292 0.1797 Th
0.7708 0.7708 0.8203 Th
0.2188 0.6412 0.1805 Ga
0.2693 0.2693 0.6784 Ga
0.3588 0.7812 0.8195 Ga
0.6412 0.2188 0.1805 Ga
0.7307 0.7307 0.3216 Ga
0.7812 0.3588 0.8195 Ga
0.0924 0.0924 0.8058 Au
0.0982 0.0982 0.4453 Au
0.1028 0.6091 0.6862 Au
0.1470 0.4495 0.9246 Au
0.1522 0.8478 0.0000 Au
0.1551 0.6048 0.4135 Au
0.3909 0.8972 0.3138 Au
0.3952 0.8449 0.5865 Au
0.4495 0.1470 0.9246 Au
0.4811 0.4811 0.6420 Au
0.5189 0.5189 0.3580 Au
0.5505 0.8530 0.0754 Au
0.6048 0.1551 0.4135 Au
0.6091 0.1028 0.6862 Au
0.8449 0.3952 0.5865 Au
0.8478 0.1522 0.0000 Au
0.8530 0.5505 0.0754 Au
0.8972 0.3909 0.3138 Au
0.9018 0.9018 0.5547 Au
0.9076 0.9076 0.1942 Au
```



Record 6
DFT (PBE) results for an optimized crystal structure of Th3Ga8Au3.

Output
Uncorrected energy (eV for the cell shown): -62.815
DOS(E_F) (states/eV per atom): 0.515
Space-group type: No. 71
Energy relative to the elements (eV/atom): -0.465

POSCAR file:
```
Th3Ga8Au3
1.0
-2.2412 4.7990 6.6029
2.2412 -4.7990 6.6029
2.2412 4.7990 -6.6029
Th Ga Au
3 8 3
direct
0.0000 0.0000 0.0000 Th
0.3086 0.3086 0.0000 Th
0.6914 0.6914 0.0000 Th
0.0336 0.6652 0.3683 Ga
0.1392 0.8613 0.2779 Ga
0.2969 0.6652 0.6317 Ga
0.4167 0.1387 0.2779 Ga
0.5833 0.8613 0.7221 Ga
0.7031 0.3348 0.3683 Ga
0.8608 0.1387 0.7221 Ga
0.9664 0.3348 0.6317 Ga
0.2846 0.5000 0.7846 Au
0.5000 0.0000 0.5000 Au
0.7154 0.5000 0.2154 Au
```



Record 7
DFT (PBE) results for an optimized crystal structure of ThGa3Au.

Output
Uncorrected energy (eV for the cell shown): -44.246
E above lowest polymorph (meV/atom): 56
DOS(E_F) (states/eV per atom): 0.620
Space-group type: No. 65
Energy relative to the elements (eV/atom): -0.469

POSCAR file:
```
ThGa3Au
1.0
2.1379 -11.9096 0.0000
2.1379 11.9096 0.0000
0.0000 0.0000 4.2264
Th Ga Au
2 6 2
direct
0.1711 0.8289 0.0000 Th
0.8289 0.1711 0.0000 Th
0.0523 0.9477 0.5000 Ga
0.2758 0.7242 0.5000 Ga
0.4479 0.5521 0.0000 Ga
0.5521 0.4479 0.0000 Ga
0.7242 0.2758 0.5000 Ga
0.9477 0.0523 0.5000 Ga
0.3824 0.6176 0.5000 Au
0.6176 0.3824 0.5000 Au
```



Record 8
DFT (PBE) results for an optimized crystal structure of ThGaAu2.

Output
Uncorrected energy (eV for the cell shown): -38.671
DOS(E_F) (states/eV per atom): 0.475
Space-group type: No. 40
Energy relative to the elements (eV/atom): -0.584

POSCAR file:
```
ThGaAu2
1.0
4.6497 0.0000 0.0000
0.0000 5.9728 3.1426
0.0000 -5.9728 3.1426
Th Ga Au
2 2 4
direct
0.2500 0.1933 0.8067 Th
0.7500 0.8067 0.1933 Th
0.2500 0.1786 0.3114 Ga
0.7500 0.3114 0.1786 Ga
0.2500 0.6194 0.3580 Au
0.2500 0.6993 0.8494 Au
0.7500 0.3580 0.6194 Au
0.7500 0.8494 0.6993 Au
```



Record 9
DFT (PBE) results for an optimized crystal structure of Th2Ga3Au2.

Output
Uncorrected energy (eV for the cell shown): -34.642
DOS(E_F) (states/eV per atom): 0.577
Space-group type: No. 12
Energy relative to the elements (eV/atom): -0.595

POSCAR file:
```
Th2Ga3Au2
1.0
5.2645 -2.2715 0.0000
5.2645 2.2715 0.0000
-2.1040 0.0000 6.3923
Th Ga Au
2 3 2
direct
0.1489 0.1489 0.2695 Th
0.8511 0.8511 0.7305 Th
0.4058 0.4058 0.0799 Ga
0.5000 0.5000 0.5000 Ga
0.5942 0.5942 0.9201 Ga
0.1570 0.1570 0.7468 Au
0.8430 0.8430 0.2532 Au
```



Record 10
DFT (PBE) results for an optimized crystal structure of ThGaAu4.

Output
Uncorrected energy (eV for the cell shown): -52.407
E above lowest polymorph (meV/atom): 0
DOS(E_F) (states/eV per atom): 0.510
Space-group type: No. 2
Energy relative to the elements (eV/atom): -0.441

POSCAR file:
```
ThGaAu4
1.0
4.5611 0.0000 0.0000
0.0757 7.7071 0.0000
2.2419 2.4343 7.2391
Th Ga Au
2 2 8
direct
0.1830 0.2683 0.1384 Th
0.8170 0.7317 0.8616 Th
0.0000 0.5000 0.5000 Ga
0.5000 0.0000 0.5000 Ga
0.0477 0.8525 0.4226 Au
0.1809 0.6834 0.1378 Au
0.3216 0.0300 0.8489 Au
0.3998 0.5541 0.6959 Au
0.6002 0.4459 0.3041 Au
0.6784 0.9700 0.1511 Au
0.8191 0.3166 0.8622 Au
0.9523 0.1475 0.5774 Au
```



Record 11
DFT (PBE) results for an optimized crystal structure of ThGaAu4.

Output
Uncorrected energy (eV for the cell shown): -52.221
E above lowest polymorph (meV/atom): 16
DOS(E_F) (states/eV per atom): 0.506
Space-group type: No. 12
Energy relative to the elements (eV/atom): -0.426

POSCAR file:
```
ThGaAu4
1.0
5.3751 -3.1559 0.0000
5.3751 3.1559 0.0000
-2.4791 0.0000 7.4209
Th Ga Au
2 2 8
direct
0.2140 0.2140 0.3078 Th
0.7860 0.7860 0.6922 Th
0.4550 0.4550 0.7270 Ga
0.5450 0.5450 0.2730 Ga
0.1218 0.6576 0.0622 Au
0.2221 0.2221 0.7102 Au
0.2317 0.7683 0.5000 Au
0.3424 0.8782 0.9378 Au
0.6576 0.1218 0.0622 Au
0.7683 0.2317 0.5000 Au
0.7779 0.7779 0.2898 Au
0.8782 0.3424 0.9378 Au
```



Record 12
DFT (PBE) results for an optimized crystal structure of ThGaAu2.

Output
Uncorrected energy (eV for the cell shown): -19.376
DOS(E_F) (states/eV per atom): 0.554
Space-group type: No. 225
Energy relative to the elements (eV/atom): -0.594

POSCAR file:
```
ThGaAu2
1.0
0.0000 3.5352 3.5352
3.5352 0.0000 3.5352
3.5352 3.5352 0.0000
Th Ga Au
1 1 2
direct
0.0000 0.0000 0.0000 Th
0.5000 0.5000 0.5000 Ga
0.2500 0.2500 0.2500 Au
0.7500 0.7500 0.7500 Au
```



Record 13
DFT (PBE) results for an optimized crystal structure of Th3Ga3Au.

Output
Uncorrected energy (eV for the cell shown): -77.472
DOS(E_F) (states/eV per atom): 0.941
Space-group type: No. 12
Energy relative to the elements (eV/atom): -0.588

POSCAR file:
```
Th3Ga3Au
1.0
5.5470 -2.2463 0.0000
5.5470 2.2463 0.0000
-4.9208 0.0000 13.7284
Th Ga Au
6 6 2
direct
0.0337 0.0337 0.3798 Th
0.1083 0.1083 0.9242 Th
0.2406 0.2406 0.2239 Th
0.7594 0.7594 0.7761 Th
0.8917 0.8917 0.0758 Th
0.9663 0.9663 0.6202 Th
0.3720 0.3720 0.4564 Ga
0.3927 0.3927 0.9257 Ga
0.4724 0.4724 0.7727 Ga
0.5276 0.5276 0.2273 Ga
0.6073 0.6073 0.0743 Ga
0.6280 0.6280 0.5436 Ga
0.2560 0.2560 0.6106 Au
0.7440 0.7440 0.3894 Au
```



Record 14
DFT (PBE) results for an optimized crystal structure of ThGa3Au3.

Output
Uncorrected energy (eV for the cell shown): -59.569
E above lowest polymorph (meV/atom): 0
DOS(E_F) (states/eV per atom): 0.483
Space-group type: No. 11
Energy relative to the elements (eV/atom): -0.493

POSCAR file:
```
ThGa3Au3
1.0
6.9759 0.0000 0.0000
0.0000 4.6272 0.0000
-2.8701 0.0000 8.6836
Th Ga Au
2 6 6
direct
0.1549 0.2500 0.2899 Th
0.8451 0.7500 0.7101 Th
0.1184 0.2500 0.9148 Ga
0.4854 0.7500 0.8735 Ga
0.4960 0.2500 0.6615 Ga
0.5040 0.7500 0.3385 Ga
0.5146 0.2500 0.1265 Ga
0.8816 0.7500 0.0852 Ga
0.0908 0.2500 0.6219 Au
0.2537 0.7500 0.0490 Au
0.3265 0.7500 0.5633 Au
0.6735 0.2500 0.4367 Au
0.7463 0.2500 0.9510 Au
0.9092 0.7500 0.3781 Au
```



Record 15
DFT (PBE) results for an optimized crystal structure of ThGa2Au6.

Output
Uncorrected energy (eV for the cell shown): -35.126
DOS(E_F) (states/eV per atom): 0.284
Space-group type: No. 191
Energy relative to the elements (eV/atom): -0.221

POSCAR file:
```
ThGa2Au6
1.0
5.5763 0.0000 0.0000
-2.7882 4.8293 0.0000
0.0000 0.0000 7.6952
Th Ga Au
1 2 6
direct
0.0000 0.0000 0.0000 Th
0.3333 0.6667 0.5000 Ga
0.6667 0.3333 0.5000 Ga
0.0000 0.5000 0.2066 Au
0.0000 0.5000 0.7934 Au
0.5000 0.0000 0.2066 Au
0.5000 0.0000 0.7934 Au
0.5000 0.5000 0.2066 Au
0.5000 0.5000 0.7934 Au
```



Record 16
DFT (PBE) results for an optimized crystal structure of ThGaAu4.

Output
Uncorrected energy (eV for the cell shown): -25.411
E above lowest polymorph (meV/atom): 132
DOS(E_F) (states/eV per atom): 0.672
Space-group type: No. 216
Energy relative to the elements (eV/atom): -0.309

POSCAR file:
```
ThGaAu4
1.0
0.0000 3.9813 3.9813
3.9813 0.0000 3.9813
3.9813 3.9813 0.0000
Th Ga Au
1 1 4
direct
0.0000 0.0000 0.0000 Th
0.2500 0.2500 0.2500 Ga
0.1263 0.6246 0.6246 Au
0.6246 0.1263 0.6246 Au
0.6246 0.6246 0.1263 Au
0.6246 0.6246 0.6246 Au
```



Record 17
DFT (PBE) results for an optimized crystal structure of ThGa3Au2.

Output
Uncorrected energy (eV for the cell shown): -50.594
DOS(E_F) (states/eV per atom): 0.402
Space-group type: No. 11
Energy relative to the elements (eV/atom): -0.374

POSCAR file:
```
ThGa3Au2
1.0
6.2638 0.0000 0.0000
0.0000 6.3335 0.0000
-0.7215 0.0000 6.2299
Th Ga Au
2 6 4
direct
0.1670 0.2500 0.1656 Th
0.8330 0.7500 0.8344 Th
0.0693 0.7500 0.3554 Ga
0.3578 0.7500 0.0681 Ga
0.4783 0.7500 0.4771 Ga
0.5217 0.2500 0.5229 Ga
0.6422 0.2500 0.9319 Ga
0.9308 0.2500 0.6446 Ga
0.2554 0.5008 0.7427 Au
0.2554 0.9992 0.7427 Au
0.7446 0.0008 0.2573 Au
0.7446 0.4992 0.2573 Au
```



Record 18
DFT (PBE) results for an optimized crystal structure of Th3Ga4Au4.

Output
Uncorrected energy (eV for the cell shown): -54.278
E above lowest polymorph (meV/atom): 0
DOS(E_F) (states/eV per atom): 0.602
Space-group type: No. 71
Energy relative to the elements (eV/atom): -0.618

POSCAR file:
```
Th3Ga4Au4
1.0
-2.2279 3.5819 7.4815
2.2279 -3.5819 7.4815
2.2279 3.5819 -7.4815
Th Ga Au
3 4 4
direct
0.0000 0.0000 0.0000 Th
0.3727 0.8727 0.5000 Th
0.6273 0.1273 0.5000 Th
0.2167 0.2167 0.0000 Ga
0.3180 0.5000 0.8180 Ga
0.6820 0.5000 0.1820 Ga
0.7833 0.7833 0.0000 Ga
0.0328 0.3342 0.6987 Au
0.3645 0.6658 0.6987 Au
0.6355 0.3342 0.3013 Au
0.9672 0.6658 0.3013 Au
```



Record 19
DFT (PBE) results for an optimized crystal structure of ThGa3Au3.

Output
Uncorrected energy (eV for the cell shown): -52.886
E above lowest polymorph (meV/atom): 477
DOS(E_F) (states/eV per atom): 0.811
Space-group type: No. 223
Energy relative to the elements (eV/atom): -0.016

POSCAR file:
```
ThGa3Au3
1.0
6.9593 0.0000 0.0000
0.0000 6.9593 0.0000
0.0000 0.0000 6.9593
Th Ga Au
2 6 6
direct
0.0000 0.0000 0.0000 Th
0.5000 0.5000 0.5000 Th
0.0000 0.2500 0.5000 Ga
0.0000 0.7500 0.5000 Ga
0.2500 0.5000 0.0000 Ga
0.5000 0.0000 0.2500 Ga
0.5000 0.0000 0.7500 Ga
0.7500 0.5000 0.0000 Ga
0.0000 0.5000 0.2500 Au
0.0000 0.5000 0.7500 Au
0.2500 0.0000 0.5000 Au
0.5000 0.2500 0.0000 Au
0.5000 0.7500 0.0000 Au
0.7500 0.0000 0.5000 Au
```



Record 20
DFT (PBE) results for an optimized crystal structure of ThGa2Au.

Output
Uncorrected energy (eV for the cell shown): -18.541
DOS(E_F) (states/eV per atom): 0.946
Space-group type: No. 123
Energy relative to the elements (eV/atom): -0.448

POSCAR file:
```
ThGa2Au
1.0
4.4532 0.0000 0.0000
0.0000 4.4532 0.0000
0.0000 0.0000 4.4393
Th Ga Au
1 2 1
direct
0.0000 0.0000 0.0000 Th
0.0000 0.5000 0.5000 Ga
0.5000 0.0000 0.5000 Ga
0.5000 0.5000 0.0000 Au
```



Record 21
DFT (PBE) results for an optimized crystal structure of Th3GaAu.

Output
Uncorrected energy (eV for the cell shown): -56.593
DOS(E_F) (states/eV per atom): 1.252
Space-group type: No. 65
Energy relative to the elements (eV/atom): 0.053

POSCAR file:
```
Th3GaAu
1.0
3.9994 -8.0923 0.0000
3.9994 8.0923 0.0000
0.0000 0.0000 4.8173
Th Ga Au
6 2 2
direct
0.0000 0.5000 0.5000 Th
0.1754 0.8246 0.0000 Th
0.3219 0.3219 0.5000 Th
0.5000 0.0000 0.5000 Th
0.6781 0.6781 0.5000 Th
0.8246 0.1754 0.0000 Th
0.3716 0.6284 0.0000 Ga
0.6284 0.3716 0.0000 Ga
0.0845 0.9155 0.5000 Au
0.9155 0.0845 0.5000 Au
```